No. 1
Below is a relaxed structure of HfSbTe2O, with properties calculated at the PBE level.

Summary:
Energy relative to the elements, uncorrected   -25 meV/atom
Energy above the lowest structure with this stoichiometry   0.00 eV per formula unit
DOS at the Fermi energy   2.73 states/eV/cell
Size of the total moment   0.0 Bohr magnetons per cell

Geometry as CIF:
```
data_HfSbTe2O
_chemical_formula_sum 'Hf1 Sb1 Te2 O1'
_symmetry_space_group_name_H-M 'P 1'
_symmetry_Int_Tables_number 1
_symmetry_space_group_name_Hall 'P 1'
_cell_length_a 4.846
_cell_length_b 4.846
_cell_length_c 4.652
_cell_angle_alpha 90.00
_cell_angle_beta 90.00
_cell_angle_gamma 90.00
loop_
_atom_site_label
_atom_site_type_symbol
_atom_site_fract_x
_atom_site_fract_y
_atom_site_fract_z
_atom_site_occupancy
Hf1 Hf 0.000 0.000 0.000 1
Sb1 Sb 0.500 0.500 0.000 1
Te1 Te 0.000 0.500 0.500 1
Te2 Te 0.500 0.000 0.500 1
O1 O 0.500 0.500 0.500 1
```

=====

No. 2
Below is a relaxed structure of Be2CoSbOs, with properties calculated at the PBE level.

Summary:
Energy relative to the elements, uncorrected   928 meV/atom
DOS at the Fermi energy   2.93 states/eV/cell
Size of the total moment   0.0 Bohr magnetons per cell

Geometry as CIF:
```
data_Be2CoSbOs
_chemical_formula_sum 'Be2 Co1 Sb1 Os1'
_symmetry_space_group_name_H-M 'P 1'
_symmetry_Int_Tables_number 1
_symmetry_space_group_name_Hall 'P 1'
_cell_length_a 3.979
_cell_length_b 3.979
_cell_length_c 4.594
_cell_angle_alpha 90.00
_cell_angle_beta 90.00
_cell_angle_gamma 90.00
loop_
_atom_site_label
_atom_site_type_symbol
_atom_site_fract_x
_atom_site_fract_y
_atom_site_fract_z
_atom_site_occupancy
Be1 Be 0.000 0.500 0.000 1
Be2 Be 0.500 0.000 0.000 1
Co1 Co 0.000 0.000 0.000 1
Sb1 Sb 0.000 0.000 0.500 1
Os1 Os 0.500 0.500 0.500 1
```

=====

Which value of size of the total moment does entry 1 give?
0.0 Bohr magnetons per cell

=====

Number 2 is which compound?
Be2CoSbOs

=====

Copy entry 1 word for word.
Below is a relaxed structure of HfSbTe2O, with properties calculated at the PBE level.

Summary:
Energy relative to the elements, uncorrected   -25 meV/atom
Energy above the lowest structure with this stoichiometry   0.00 eV per formula unit
DOS at the Fermi energy   2.73 states/eV/cell
Size of the total moment   0.0 Bohr magnetons per cell

Geometry as CIF:
```
data_HfSbTe2O
_chemical_formula_sum 'Hf1 Sb1 Te2 O1'
_symmetry_space_group_name_H-M 'P 1'
_symmetry_Int_Tables_number 1
_symmetry_space_group_name_Hall 'P 1'
_cell_length_a 4.846
_cell_length_b 4.846
_cell_length_c 4.652
_cell_angle_alpha 90.00
_cell_angle_beta 90.00
_cell_angle_gamma 90.00
loop_
_atom_site_label
_atom_site_type_symbol
_atom_site_fract_x
_atom_site_fract_y
_atom_site_fract_z
_atom_site_occupancy
Hf1 Hf 0.000 0.000 0.000 1
Sb1 Sb 0.500 0.500 0.000 1
Te1 Te 0.000 0.500 0.500 1
Te2 Te 0.500 0.000 0.500 1
O1 O 0.500 0.500 0.500 1
```